# Tb5Zn2Ga5

A geometry-optimized Tb5Zn2Ga5 structure (PBE, Alexandria).

The structure in extended XYZ format:
```
12
Lattice="4.3619 0.0000 0.9841 2.3578 7.8011 -0.2917 0.4804 -1.3988 8.0299" Properties=species:S:1:pos:R:3 pbc="T T T"
Ga 5.2849 0.7756 7.0523
Ga 0.0000 0.0000 0.0000
Ga 1.9152 5.6268 1.6700
Ga 3.2867 4.5340 5.7499
Ga 3.9134 1.8683 2.9723
Zn 3.2960 1.7428 5.7088
Zn 3.9041 4.6595 3.0135
Tb 2.1590 2.5256 0.5892
Tb 1.6228 -0.1102 2.9660
Tb 1.4191 3.2012 3.8691
Tb 5.0411 3.8767 8.1330
Tb 5.5773 6.5125 5.7563
```

Output
Space-group type: C2/m, No. 12
Crystal system: monoclinic
Total magnetization, μB per formula unit: 0.0
Formation energy, meV per atom: -537
Fermi-level density of states, states/eV per cell: 5.092

---

# Tb6Zn2Ga

A geometry-optimized Tb6Zn2Ga structure (PBE, Alexandria).

The structure in extended XYZ format:
```
18
Lattice="8.5307 0.2702 0.0731 -2.9821 7.9970 -0.0731 -2.9006 -4.0489 6.9314" Properties=species:S:1:pos:R:3 pbc="T T T"
Zn 3.5789 -2.4020 4.4525
Zn 2.0245 4.6369 0.8742
Zn 0.6235 -0.4185 6.0572
Zn 2.0512 -1.3767 2.5519
Tb 5.9476 2.0038 0.3816
Tb -2.4403 -1.2091 5.6914
Tb -2.4333 4.9789 4.6418
Tb -0.3399 0.2281 3.0993
Tb -0.3530 3.5827 2.2164
Tb 3.0010 0.6356 4.7149
Tb -3.2995 2.2145 6.5498
Tb 0.1944 2.7165 5.6914
Tb 5.0813 -0.7606 2.2895
Tb 5.0883 5.4275 1.2400
Tb 2.4536 1.5019 1.2400
Tb 2.9879 3.9902 3.8321
Ga -2.9413 1.9741 3.4291
Ga 0.0000 0.0000 0.0000
```

Output
Space-group type: Immm, No. 71
Crystal system: orthorhombic
Total magnetization, μB per formula unit: 0.0
Formation energy, meV per atom: -256
Fermi-level density of states, states/eV per cell: 19.998

---

# Tb2Zn2Ga3

A geometry-optimized Tb2Zn2Ga3 structure (PBE, Alexandria).

The structure in extended XYZ format:
```
14
Lattice="4.1966 0.0000 -1.0005 0.0000 6.9175 0.0000 0.0621 0.0000 9.5620" Properties=species:S:1:pos:R:3 pbc="T T T"
Tb 0.6805 1.7294 2.8542
Tb 3.5782 5.1882 5.7073
Tb 0.2150 5.1881 0.9017
Tb 4.0437 1.7294 7.6597
Ga 1.9006 6.4280 7.9720
Ga 0.9646 5.1882 4.0459
Ga 2.3581 0.4896 0.5894
Ga 1.9006 3.9483 7.9720
Ga 2.3581 2.9692 0.5894
Ga 3.2941 1.7294 4.5155
Zn 2.8983 6.4876 2.8551
Zn 2.8983 3.8886 2.8551
Zn 1.3605 3.0289 5.7064
Zn 1.3605 0.4299 5.7064
```

Output
Space-group type: Cmcm, No. 63
Crystal system: orthorhombic
Total magnetization, μB per formula unit: 0.0
Formation energy, meV per atom: -552
Fermi-level density of states, states/eV per cell: 4.784

---

# TbZn2Ga

A geometry-optimized TbZn2Ga structure (PBE, Alexandria).

The structure in extended XYZ format:
```
4
Lattice="-1.2454 -2.5196 -3.8244 -0.0915 -4.7407 0.2081 -4.1513 -2.2991 -0.0784" Properties=species:S:1:pos:R:3 pbc="T T T"
Tb 0.0000 0.0000 0.0000
Zn -1.3721 -2.3899 -0.9237
Zn -4.1162 -7.1696 -2.7711
Ga -2.7441 -4.7797 -1.8474
```

Output
Space-group type: Fm-3m, No. 225
Crystal system: cubic
Total magnetization, μB per formula unit: 0.0
Formation energy, meV per atom: -277
Fermi-level density of states, states/eV per cell: 2.032

---

# Tb2Zn15Ga2

A geometry-optimized Tb2Zn15Ga2 structure (PBE, Alexandria).

The structure in extended XYZ format:
```
19
Lattice="-4.5906 -3.6571 3.4486 0.9365 -5.7906 -3.4543 4.4131 -2.7606 4.3868" Properties=species:S:1:pos:R:3 pbc="T T T"
Zn -1.9445 -6.0364 3.1948
Zn -2.8834 -4.3161 1.3164
Zn -2.2953 -1.8285 1.7243
Zn 0.7167 -7.0637 -0.1289
Zn 2.0104 -4.8547 -1.0323
Zn -0.7707 -5.1316 -1.3221
Zn 3.3393 -3.6965 1.9648
Zn 2.2066 -1.3803 2.1934
Zn 2.3907 -5.6048 3.6466
Zn 0.0423 -5.1446 4.5100
Zn -1.8095 -3.3801 3.7384
Zn 2.7035 -6.1719 1.1863
Zn 0.4683 -2.8953 -1.7272
Zn -1.6317 -6.6035 0.7345
Zn 1.6320 -3.0375 4.0970
Ga 0.0751 -1.2082 0.4336
Ga 0.6839 -11.0001 3.9475
Tb 0.2537 -4.0811 1.4646
Tb 0.5053 -8.1272 2.9165
```

Output
Space-group type: R-3m, No. 166
Crystal system: trigonal
Total magnetization, μB per formula unit: 0.0
Formation energy, meV per atom: -232
Fermi-level density of states, states/eV per cell: 7.477

---

# Tb3Zn6Ga5

A geometry-optimized Tb3Zn6Ga5 structure (PBE, Alexandria).

The structure in extended XYZ format:
```
28
Lattice="4.2463 0.0000 0.0000 0.0000 9.6778 0.0000 0.0000 0.0000 12.5447" Properties=species:S:1:pos:R:3 pbc="T T T"
Tb 0.0000 2.4025 8.6402
Tb 2.1231 7.2400 6.2723
Tb 2.1231 7.2753 2.3679
Tb 2.1231 7.2753 10.1768
Tb 0.0000 2.4378 0.0000
Tb 0.0000 2.4025 3.9045
Zn 2.1231 9.2939 0.0000
Zn 2.1231 0.2016 4.4202
Zn 0.0000 5.9641 8.3013
Zn 0.0000 0.3840 6.2723
Zn 2.1231 0.2016 8.1244
Zn 0.0000 5.9641 4.2433
Zn 2.1231 3.7138 2.0290
Zn 0.0000 4.4109 6.2723
Zn 2.1231 5.2669 0.0000
Zn 0.0000 9.4763 1.8521
Zn 2.1231 3.7138 10.5157
Zn 0.0000 9.4763 10.6926
Ga 2.1231 4.5778 4.5223
Ga 0.0000 8.4542 4.2907
Ga 2.1231 2.2679 6.2723
Ga 2.1231 4.5778 8.0224
Ga 0.0000 5.1000 10.7946
Ga 0.0000 7.4099 0.0000
Ga 0.0000 8.4542 8.2540
Ga 0.0000 5.1000 1.7500
Ga 2.1231 1.2236 10.5630
Ga 2.1231 1.2236 1.9817
```

Output
Space-group type: Pmmn, No. 59
Crystal system: orthorhombic
Total magnetization, μB per formula unit: 0.0
Formation energy, meV per atom: -447
Fermi-level density of states, states/eV per cell: 9.484